Computed, not measured: an optimized crystal structure of MgFe2Au at the PBE-GGA level of DFT.

Unit cell a=4.568 b=2.713 c=4.916 alpha=81.16 beta=90.00 gamma=90.00
Each line ends with the local moment (μB).
Fractional positions:
Au (0.500, 0.750, 0.750)  0.03
Fe (0.000, 0.521, 0.489)  2.71
Mg (0.500, 0.250, 0.250)  -0.03
Fe (0.000, 0.979, 0.011)  2.71

**Symmetry**: P2/m (10)
**Raw total energy**: -5.30 eV per atom
**Density**: 9.185 g/cm³
**Formation energy from the elements**: 0.147 eV per atom

***

Computed, not measured: an optimized crystal structure of MgFeAu2 at the PBE-GGA level of DFT.

Unit cell a=3.400 b=3.400 c=5.825 alpha=90.00 beta=90.00 gamma=90.00
Each line ends with the local moment (μB).
Fractional positions:
Mg (0.500, 0.500, 0.755)  -0.02
Au (0.500, 0.500, 0.278)  0.05
Fe (0.000, 0.000, 0.485)  2.89
Au (0.000, 0.000, 0.982)  0.00

**Symmetry**: P4mm (99)
**Raw total energy**: -4.22 eV per atom
**Density**: 11.690 g/cm³
**Formation energy from the elements**: -0.067 eV per atom

***

Computed, not measured: an optimized crystal structure of MgFeAu4 at the PBE-GGA level of DFT.

Unit cell a=5.466 b=5.466 c=5.466 alpha=60.00 beta=60.00 gamma=60.00
Each line ends with the local moment (μB).
Fractional positions:
Au (0.375, 0.375, 0.875)  -0.02
Au (0.875, 0.375, 0.375)  -0.02
Fe (0.750, 0.750, 0.750)  3.15
Au (0.375, 0.875, 0.375)  -0.02
Mg (0.000, 0.000, 0.000)  -0.01
Au (0.375, 0.375, 0.375)  -0.02

**Symmetry**: F-43m (216)
**Raw total energy**: -3.72 eV per atom
**Density**: 12.480 g/cm³
**Formation energy from the elements**: 0.145 eV per atom